Entry 1:
Na2UPaSe5 | PBE-GGA | optimized geometry

Symmetry ... No. 123

a b c (Å): 5.271 5.271 11.071
angles (deg): 90.00 90.00 90.00
Atoms (fractional coordinates):
Na: 0.000 0.000 0.232
Na: 0.000 0.000 0.768
U: 0.500 0.500 0.500
Pa: 0.500 0.500 0.000
Se: 0.000 0.000 0.500
Se: 0.000 0.500 0.000
Se: 0.500 0.000 0.000
Se: 0.500 0.500 0.251
Se: 0.500 0.500 0.749

***

Entry 2:
Na2UPaSe4 | PBE-GGA | optimized geometry

Symmetry ... No. 10

a b c (Å): 7.075 4.075 7.594
angles (deg): 90.00 108.02 90.00
Atoms (fractional coordinates):
Na: 0.000 0.000 0.000
Na: 0.500 0.500 0.000
U: 0.000 0.500 0.500
Pa: 0.500 0.000 0.500
Se: 0.247 0.000 0.737
Se: 0.255 0.500 0.261
Se: 0.745 0.500 0.739
Se: 0.753 0.000 0.263

***

| no. | ΔE_f (raw) (meV per atom) |
| --- | --- |
| 1 | -882 |
| 2 | -1231 |